# 1
Computed, not measured: an optimized crystal structure of La2PrNd2Tm at the PBE-GGA level of DFT.

POSCAR file:
```
La2PrNd2Tm
1.0
7.170 0.000 0.000
0.000 5.814 0.000
0.000 0.000 10.045
La Pr Nd Tm
4 2 4 2
Direct
0.000 0.000 0.000
0.250 0.500 0.177
0.500 0.000 0.000
0.750 0.500 0.823
0.250 0.000 0.658
0.750 0.000 0.342
0.250 0.000 0.332
0.250 0.500 0.835
0.750 0.000 0.668
0.750 0.500 0.165
0.000 0.500 0.500
0.500 0.500 0.500
```

***

# 2
Computed, not measured: an optimized crystal structure of La2Pr6NdTm at the PBE-GGA level of DFT.

POSCAR file:
```
La2Pr6NdTm
1.0
4.657 -7.704 0.000
4.657 7.704 0.000
-1.719 0.000 10.001
La Pr Nd Tm
4 12 2 2
Direct
0.196 0.291 0.042
0.291 0.196 0.542
0.709 0.804 0.458
0.804 0.709 0.958
0.014 0.577 0.189
0.120 0.742 0.555
0.258 0.880 0.945
0.299 0.504 0.380
0.423 0.986 0.311
0.496 0.701 0.120
0.504 0.299 0.880
0.577 0.014 0.689
0.701 0.496 0.620
0.742 0.120 0.055
0.880 0.258 0.445
0.986 0.423 0.811
0.013 0.987 0.250
0.987 0.013 0.750
0.406 0.594 0.750
0.594 0.406 0.250
```

***

Looking at energy relative to the elements for the records above, in order, we have 0.0513, 0.1061 eV/atom.